<i>
## YHoGeAu (PBE)

Data for YHoGeAu after structural relaxation.

Results
Density of states at the Fermi level (states/eV/atom): 0.571
Space group: Amm2 (38)

```
YHoGeAu
1.0
4.057 0.000 0.000
0.000 4.310 0.000
-2.028 0.000 5.448
Y Ho Ge Au
1 1 1 1
Cartesian
2.028 2.155 3.924 Y
0.000 0.000 1.509 Ho
2.028 2.155 0.934 Ge
0.000 0.000 4.528 Au
```



<ii>
## YHoGeAu (PBE)

Data for YHoGeAu after structural relaxation.

Results
Density of states at the Fermi level (states/eV/atom): 0.984
Space group: F-43m (216)

```
YHoGeAu
1.0
5.071 0.000 0.000
2.536 4.392 0.000
2.536 1.464 4.141
Y Ge Au Ho
1 1 1 1
Cartesian
2.536 1.464 1.035 Y
0.000 0.000 0.000 Ge
5.071 2.928 2.070 Au
7.607 4.392 3.106 Ho
```



<i> takes first place; second place is 0.115 eV/atom up.



<i>
## GeAu2I (PBE)

Data for GeAu2I after structural relaxation.

Results
Density of states at the Fermi level (states/eV/atom): 0.186
Space group: I-42d (122)

```
GeAu2I
1.0
-4.329 0.598 5.328
-0.840 -6.839 0.085
1.100 -3.536 5.747
I Ge Au
2 2 4
Cartesian
0.000 0.000 0.000 I
-2.906 -3.029 6.891 I
-2.584 -3.120 2.707 Ge
-1.162 -6.747 4.269 Ge
-2.311 -1.396 4.501 Au
-1.016 -5.052 2.432 Au
-1.157 -5.347 6.344 Au
-3.654 -7.758 9.042 Au
```



<ii>
## GeAu2I (PBE)

Data for GeAu2I after structural relaxation.

Results
Density of states at the Fermi level (states/eV/atom): 0.271
Space group: R-3m (166)

```
GeAu2I
1.0
4.485 0.000 0.000
2.242 3.884 0.000
2.242 1.295 6.851
I Ge Au
1 1 2
Cartesian
0.000 0.000 0.000 I
4.485 2.589 3.425 Ge
2.242 1.295 4.062 Au
6.727 3.884 2.788 Au
```



<iii>
## GeAu2I (PBE)

Data for GeAu2I after structural relaxation.

Results
Density of states at the Fermi level (states/eV/atom): 0.983
Space group: Fm-3m (225)

```
GeAu2I
1.0
-1.501 -2.539 4.086
-2.107 2.459 3.861
-4.917 -0.552 0.958
I Ge Au
1 1 2
Cartesian
-4.262 -0.316 4.452 I
0.000 0.000 0.000 Ge
-2.131 -0.158 2.226 Au
-6.394 -0.474 6.679 Au
```



<ii> takes first place; second place is 0.020 eV/atom up.



<i>
## GeAuI3 (PBE)

Data for GeAuI3 after structural relaxation.

Results
Space group: C2/m (12)

```
GeAuI3
1.0
-2.067 1.428 3.644
3.125 -10.721 3.286
6.176 5.345 1.408
Ge Au I
2 2 6
Cartesian
5.802 2.670 4.932 Ge
1.432 -6.617 3.405 Ge
5.965 -4.592 7.870 Au
1.269 0.644 0.467 Au
6.397 -4.045 5.213 I
0.838 0.098 3.124 I
4.854 -0.142 5.496 I
2.381 -3.805 2.841 I
5.058 2.224 1.997 I
2.176 -6.171 6.340 I
```



<ii>
## GeAuI3 (PBE)

Data for GeAuI3 after structural relaxation.

Results
Density of states at the Fermi level (states/eV/atom): 0.621
Space group: Pm-3m (221)

```
GeAuI3
1.0
5.643 0.000 0.000
0.000 5.643 0.000
0.000 0.000 5.643
I Ge Au
3 1 1
Cartesian
0.000 2.822 0.000 I
0.000 0.000 2.822 I
2.822 0.000 0.000 I
2.822 2.822 2.822 Ge
0.000 0.000 0.000 Au
```



<i> takes first place; second place is 0.568 eV/atom up.